Here is a relaxed LiMg2Cd crystal from Alexandria via LeMat-Bulk. Energies are from PBE-GGA.

Lattice parameters (Å, degrees): 5.6698 5.6698 5.6698 143.89 128.98 64.09
Atoms (fractional coordinates):
Mg: 0.0022 0.0022 0.0000
Mg: 0.4978 0.4978 0.0000
Li: 0.2500 0.7500 0.5000
Cd: 0.7500 0.2500 0.5000

Values from the calculation:
As for the formation enthalpy at 0 K: -106 meV per atom. As for the density of states at the Fermi level: 1.15 states/eV per cell. Its size of the total moment is 0.00 μB per formula unit.